# Na3BSb

Crystalline Na3BSb at its relaxed geometry (PBE, Alexandria via LeMat-Bulk).

As for the density of states at the Fermi level: 0.3472 states/eV/atom. The value obtained for the offset from the most stable computed form is 0.0 meV per atom. The calculation puts the total moment at 1.00 μB/cell. Its total energy is -2.280 eV per atom. Its space group is Pm-3m, No. 221. Its formation energy without anion corrections is 64.8 kJ/mol of atoms.

Lattice parameters (Å, degrees): 5.088 5.088 5.088 90.00 90.00 90.00
Atoms (fractional coordinates):
Sb  0.500  0.500  0.500
Na  0.500  0.000  0.000
Na  0.000  0.500  0.000
Na  0.000  0.000  0.500
B  0.000  0.000  0.000


# Na2BSb

Crystalline Na2BSb at its relaxed geometry (PBE, Alexandria via LeMat-Bulk).

As for the density of states at the Fermi level: 0.0000 states/eV/atom. The value obtained for the offset from the most stable computed form is 0.0 meV per atom. The calculation puts the total moment at 0.00 μB/cell. Its total energy is -2.643 eV per atom. Its space group is Fm-3m, No. 225. Its formation energy without anion corrections is 69.2 kJ/mol of atoms.

Lattice parameters (Å, degrees): 4.988 4.988 4.988 60.00 60.00 60.00
Atoms (fractional coordinates):
B  0.000  0.000  0.000
Na  0.750  0.750  0.750
Na  0.250  0.250  0.250
Sb  0.500  0.500  0.500


# NaBSb2

Crystalline NaBSb2 at its relaxed geometry (PBE, Alexandria via LeMat-Bulk).

As for the density of states at the Fermi level: 0.0289 states/eV/atom. The calculation puts the total moment at 0.00 μB/cell. Its total energy is -3.811 eV per atom. Its space group is I-42d, No. 122. Its formation energy without anion corrections is 24.0 kJ/mol of atoms.

Lattice parameters (Å, degrees): 7.355 7.355 6.153 53.30 53.30 90.00
Atoms (fractional coordinates):
Na  0.750  0.250  0.500
Na  0.000  0.000  0.000
Sb  0.208  0.625  0.250
Sb  0.542  0.125  0.250
Sb  0.375  0.458  0.750
Sb  0.875  0.792  0.750
B  0.500  0.500  0.000
B  0.250  0.750  0.500


# Na2BSb

Crystalline Na2BSb at its relaxed geometry (PBE, Alexandria via LeMat-Bulk).

As for the density of states at the Fermi level: 0.5960 states/eV/atom. The value obtained for the offset from the most stable computed form is 55.2 meV per atom. The calculation puts the total moment at 0.00 μB/cell. Its total energy is -2.587 eV per atom. Its space group is I-42d, No. 122. Its formation energy without anion corrections is 74.5 kJ/mol of atoms.

Lattice parameters (Å, degrees): 3.944 3.944 10.739 79.42 79.42 90.00
Atoms (fractional coordinates):
Na  0.600  0.125  0.250
Na  0.875  0.850  0.750
Na  0.150  0.625  0.250
Na  0.375  0.400  0.750
Sb  0.000  0.000  0.000
Sb  0.750  0.250  0.500
B  0.500  0.500  0.000
B  0.250  0.750  0.500